No. 1
Here is a relaxed Pr6NdN5 crystal from Alexandria. Energies are from PBE.

Calculated values
The volume is 255.4 Å³/f.u. As for the density of states at the Fermi level: 6.52 states/eV/f.u. The magnetic moment comes out at 0.0 Bohr magnetons per cell. Its raw formation energy is -73.0 kJ per mole of atoms.

a = 6.774 Å, b = 6.774 Å, c = 12.855 Å
α = 90.00°, β = 90.00°, γ = 120.00°
Fractional coordinates of all 24 atoms:
Pr 0.000 0.398 0.117
Pr 0.000 0.398 0.383
Pr 0.000 0.602 0.617
Pr 0.000 0.602 0.883
Pr 0.398 0.000 0.117
Pr 0.398 0.000 0.383
Pr 0.398 0.398 0.617
Pr 0.398 0.398 0.883
Pr 0.602 0.000 0.617
Pr 0.602 0.000 0.883
Pr 0.602 0.602 0.117
Pr 0.602 0.602 0.383
Nd 0.000 0.000 0.250
Nd 0.000 0.000 0.750
N 0.000 0.345 0.750
N 0.000 0.655 0.250
N 0.333 0.667 0.000
N 0.333 0.667 0.500
N 0.345 0.000 0.750
N 0.345 0.345 0.250
N 0.655 0.000 0.250
N 0.655 0.655 0.750
N 0.667 0.333 0.000
N 0.667 0.333 0.500

---

No. 2
Here is a relaxed TiSnGe crystal from Alexandria. Energies are from PBE.

Calculated values
The volume is 69.7 Å³/f.u. As for the density of states at the Fermi level: 3.42 states/eV/f.u. The magnetic moment comes out at 0.0 Bohr magnetons per cell. The calculation puts the energy of formation at 241 meV per atom.

a = 6.533 Å, b = 6.533 Å, c = 6.533 Å
α = 90.00°, β = 90.00°, γ = 90.00°
Fractional coordinates of all 12 atoms:
Ti 0.023 0.023 0.023
Ti 0.477 0.977 0.523
Ti 0.523 0.477 0.977
Ti 0.977 0.523 0.477
Sn 0.071 0.571 0.929
Sn 0.429 0.429 0.429
Sn 0.571 0.929 0.071
Sn 0.929 0.071 0.571
Ge 0.177 0.823 0.323
Ge 0.323 0.177 0.823
Ge 0.677 0.677 0.677
Ge 0.823 0.323 0.177

---

No. 3
Here is a relaxed AlAu3I crystal from Alexandria. Energies are from PBE.

Calculated values
The calculation puts the offset from the most stable computed form at 0.00 eV/f.u. The volume is 124.6 Å³/f.u. As for the density of states at the Fermi level: 4.71 states/eV/f.u. The magnetic moment comes out at 0.0 Bohr magnetons per cell. Its raw formation energy is 35.1 kJ per mole of atoms.

a = 4.994 Å, b = 4.994 Å, c = 4.994 Å
α = 90.00°, β = 90.00°, γ = 90.00°
Fractional coordinates of all 5 atoms:
Al 0.000 0.000 0.000
Au 0.000 0.000 0.500
Au 0.000 0.500 0.000
Au 0.500 0.000 0.000
I 0.500 0.500 0.500

---

No. 4
Here is a relaxed UPaNiPt crystal from Alexandria. Energies are from PBE.

Calculated values
The volume is 72.2 Å³/f.u. As for the density of states at the Fermi level: 5.64 states/eV/f.u. The magnetic moment comes out at 3.0 Bohr magnetons per cell. The calculation puts the energy of formation at -525 meV per atom.

a = 4.673 Å, b = 4.673 Å, c = 4.673 Å
α = 60.00°, β = 60.00°, γ = 60.00°
Fractional coordinates of all 4 atoms:
U 0.000 0.000 0.000
Pa 0.250 0.250 0.250
Ni 0.500 0.500 0.500
Pt 0.750 0.750 0.750

---

No. 5
Here is a relaxed La3BPd crystal from Alexandria. Energies are from PBE.

Calculated values
The calculation puts the offset from the most stable computed form at 0.00 eV/f.u. The volume is 143.9 Å³/f.u. As for the density of states at the Fermi level: 7.14 states/eV/f.u. The magnetic moment comes out at 0.0 Bohr magnetons per cell. The calculation puts the energy of formation at 18 meV per atom.

a = 5.241 Å, b = 5.241 Å, c = 5.241 Å
α = 90.00°, β = 90.00°, γ = 90.00°
Fractional coordinates of all 5 atoms:
La 0.000 0.000 0.500
La 0.000 0.500 0.000
La 0.500 0.000 0.000
B 0.000 0.000 0.000
Pd 0.500 0.500 0.500

---

No. 6
Here is a relaxed BaLaMg2Tl4 crystal from Alexandria. Energies are from PBE.

Calculated values
The volume is 239.3 Å³/f.u. As for the density of states at the Fermi level: 3.28 states/eV/f.u. The magnetic moment comes out at 0.0 Bohr magnetons per cell. The calculation puts the energy of formation at -285 meV per atom.

a = 9.882 Å, b = 9.882 Å, c = 9.882 Å
α = 31.90°, β = 31.90°, γ = 31.90°
Fractional coordinates of all 8 atoms:
Ba 0.000 0.000 0.000
La 0.500 0.500 0.500
Mg 0.245 0.245 0.245
Mg 0.755 0.755 0.755
Tl 0.125 0.125 0.125
Tl 0.382 0.382 0.382
Tl 0.618 0.618 0.618
Tl 0.875 0.875 0.875

---

No. 7
Here is a relaxed YTl2Au crystal from Alexandria. Energies are from PBE.

Calculated values
The calculation puts the offset from the most stable computed form at 0.12 eV/f.u. The volume is 99.1 Å³/f.u. As for the density of states at the Fermi level: 2.14 states/eV/f.u. The magnetic moment comes out at 0.0 Bohr magnetons per cell. The calculation puts the energy of formation at -301 meV per atom.

a = 5.567 Å, b = 5.567 Å, c = 5.567 Å
α = 129.89°, β = 129.89°, γ = 73.58°
Fractional coordinates of all 4 atoms:
Y 0.000 0.000 0.000
Tl 0.500 0.500 0.000
Tl 0.750 0.250 0.500
Au 0.250 0.750 0.500

---

No. 8
Here is a relaxed Na5B7C3 crystal from Alexandria. Energies are from PBE.

Calculated values
The calculation puts the offset from the most stable computed form at 0.51 eV/f.u. The volume is 156.1 Å³/f.u. As for the density of states at the Fermi level: 1.81 states/eV/f.u. The magnetic moment comes out at 0.0 Bohr magnetons per cell. The calculation puts the energy of formation at 147 meV per atom.

a = 8.572 Å, b = 7.586 Å, c = 7.586 Å
α = 140.73°, β = 90.00°, γ = 90.00°
Fractional coordinates of all 30 atoms:
Na 0.242 0.000 0.000
Na 0.246 0.398 0.599
Na 0.246 0.599 0.398
Na 0.250 0.199 0.800
Na 0.250 0.800 0.199
Na 0.750 0.199 0.800
Na 0.750 0.800 0.199
Na 0.754 0.398 0.599
Na 0.754 0.599 0.398
Na 0.758 0.000 0.000
B 0.000 0.059 0.271
B 0.000 0.271 0.059
B 0.000 0.332 0.332
B 0.000 0.468 0.868
B 0.000 0.685 0.685
B 0.000 0.868 0.468
B 0.500 0.132 0.523
B 0.500 0.322 0.322
B 0.500 0.461 0.854
B 0.500 0.523 0.132
B 0.500 0.651 0.651
B 0.500 0.770 0.961
B 0.500 0.854 0.461
B 0.500 0.961 0.770
C 0.000 0.126 0.531
C 0.000 0.531 0.126
C 0.000 0.732 0.934
C 0.000 0.934 0.732
C 0.500 0.069 0.264
C 0.500 0.264 0.069